# BeNi6Ir | the Alexandria database | PBEsol | relaxed
data_BeNi6Ir
_symmetry_space_group_name_H-M 'C m m m'
_symmetry_Int_Tables_number 65
_symmetry_space_group_name_Hall '-C 2 2'
_cell_length_a 6.927
_cell_length_b 9.883
_cell_length_c 9.885
_cell_angle_alpha 90.00
_cell_angle_beta 90.00
_cell_angle_gamma 90.00
loop_
_atom_site_label
_atom_site_fract_x
_atom_site_fract_y
_atom_site_fract_z
Be1 0.000 0.000 0.241
Be2 0.000 0.254 0.000
Ni1 0.000 0.000 0.000
Ni2 0.000 0.000 0.500
Ni3 0.000 0.248 0.243
Ni4 0.000 0.500 0.000
Ni5 0.000 0.500 0.500
Ni6 0.242 0.123 0.368
Ni7 0.244 0.127 0.120
Ir1 0.000 0.251 0.500
Ir2 0.000 0.500 0.246
# - DOS(E_F) (states/eV/cell) = 97.49
# - energy (eV/atom) = -6.417

=====

# Sc2AsSe | the Alexandria database | PBEsol | relaxed
data_Sc2AsSe
_symmetry_space_group_name_H-M 'I -4 m 2'
_symmetry_Int_Tables_number 119
_symmetry_space_group_name_Hall 'I -4 -2'
_cell_length_a 3.769
_cell_length_b 3.769
_cell_length_c 11.255
_cell_angle_alpha 90.00
_cell_angle_beta 90.00
_cell_angle_gamma 90.00
loop_
_atom_site_label
_atom_site_fract_x
_atom_site_fract_y
_atom_site_fract_z
Sc1 0.000 0.000 0.000
Sc2 0.000 0.500 0.250
As1 0.000 0.500 0.750
Se1 0.000 0.000 0.500
# - DOS(E_F) (states/eV/cell) = 7.48
# - energy relative to the lowest polymorph listed for this composition (meV per atom) = 517
# - energy (eV/atom) = -6.621
# - formation energy without anion corrections (eV per formula unit) = -4.3

=====

# Be2TlAs | the Alexandria database | PBEsol | relaxed
data_Be2TlAs
_symmetry_space_group_name_H-M 'F -4 3 m'
_symmetry_Int_Tables_number 216
_symmetry_space_group_name_Hall 'F -4 2 3'
_cell_length_a 6.522
_cell_length_b 6.522
_cell_length_c 6.522
_cell_angle_alpha 90.00
_cell_angle_beta 90.00
_cell_angle_gamma 90.00
loop_
_atom_site_label
_atom_site_fract_x
_atom_site_fract_y
_atom_site_fract_z
Be1 0.000 0.000 0.000
Be2 0.250 0.250 0.250
Tl1 0.000 0.000 0.500
As1 0.250 0.250 0.750
# - DOS(E_F) (states/eV/cell) = 5.44
# - energy (eV/atom) = -3.028